No. 1
DFT (PBE-GGA) results for a geometry-optimized LaTh2Co structure.

Cell and atoms, written as extended XYZ:
```
4
Lattice="3.5586 0.0000 0.0000 0.0000 3.5586 0.0000 0.0000 0.0000 8.6143" Properties=species:S:1:pos:R:3 pbc="T T T"
La 0.0000 0.0000 0.0000
Th 1.7793 1.7793 2.7106
Th 1.7793 1.7793 5.9037
Co 0.0000 0.0000 4.3071
```

**Symmetry**: P4/mmm, No. 123
**Calculated volume**: 109.1 Å³/cell
**E**: -26.9 eV/cell
**Excess energy over the best structure of this formula in the dataset**: 161.4 meV/atom



No. 2
DFT (PBE-GGA) results for a geometry-optimized GePtO2 structure.

Cell and atoms, written as extended XYZ:
```
8
Lattice="4.5372 0.0000 0.0000 -1.1996 4.8376 0.0000 -1.9099 -1.3535 4.8568" Properties=species:S:1:pos:R:3 pbc="T T T"
Ge 0.0000 0.0000 0.0000
Ge -1.0882 1.3396 3.0112
Pt 0.5138 2.8534 1.9577
Pt 1.7765 1.5895 0.0946
O -1.1319 3.2489 0.8278
O 1.2927 -0.8269 3.7318
O 3.0003 0.4686 1.4591
O 2.0466 2.4814 3.2199
```

**Symmetry**: P1, No. 1
**Formation energy (no corrections)**: -3.5 eV/f.u.
**Calculated volume**: 106.6 Å³/cell
**E**: -48.1 eV/cell



No. 3
DFT (PBE-GGA) results for a geometry-optimized RbYSc2 structure.

Cell and atoms, written as extended XYZ:
```
8
Lattice="-2.3387 2.3387 12.0990 2.3387 -2.3387 12.0990 2.3387 2.3387 -12.0990" Properties=species:S:1:pos:R:3 pbc="T T T"
Rb 0.0000 0.0000 0.0000
Rb 0.0000 2.3387 6.0495
Y 2.3387 0.0000 6.0495
Y 0.0000 0.0000 12.0990
Sc 1.1693 -1.0803 9.0743
Sc 1.2584 1.1693 3.0248
Sc 1.1693 3.4189 -3.0248
Sc 1.0803 1.1693 15.1238
```

**Symmetry**: I-42d, No. 122
**Calculated volume**: 264.7 Å³/cell
**E**: -32.4 eV/cell
**Excess energy over the best structure of this formula in the dataset**: 552.5 meV/atom